1.
Density functional theory data (PBE-GGA) for a relaxed structure of Rb2CaNbSe4.

## Properties
As for the calculated volume: 37.41 A^3/atom. The total magnetization is 1.00 μB/f.u. The value obtained for the calculated total energy is -4.607 eV/atom. The symmetry is I-4. The uncorrected formation energy comes out at -1.114 eV/atom.

Cell lengths 7.3492, 7.3492, 7.3492 Å; angles 99.90, 114.46, 114.46 degrees
Site moments in Bohr magnetons follow the coordinates.
Element x y z (fractional)
1 Rb 0.5000 0.7500 0.2500  0.00
2 Rb 0.0000 0.0000 0.0000  0.00
3 Ca 0.5000 0.2500 0.7500  0.02
4 Nb 0.0000 0.5000 0.5000  0.78
5 Se 0.6248 0.4211 0.4731  -0.01
6 Se 0.0520 0.2037 0.5789  -0.01
7 Se 0.9480 0.5269 0.1517  -0.01
8 Se 0.3752 0.8483 0.7963  -0.01

2.
Density functional theory data (PBE-GGA) for a relaxed structure of CaNb3Re.

## Properties
As for the calculated volume: 19.59 A^3/atom. For the energy of formation from the pure elements, the calculation gives 1234 kJ/mol of formula units. The total magnetization is 0.00 μB/f.u. The value obtained for the calculated total energy is -6.375 eV/atom. The calculation puts the energy relative to the lowest polymorph listed for this composition at 1705 meV/atom. The symmetry is Pm-3m.

Cell lengths 4.6097, 4.6097, 4.6097 Å; angles 90.00, 90.00, 90.00 degrees
Element x y z (fractional)
1 Re 0.5000 0.5000 0.5000
2 Nb 0.0000 0.5000 0.0000
3 Nb 0.0000 0.0000 0.5000
4 Nb 0.5000 0.0000 0.0000
5 Ca 0.0000 0.0000 0.0000

3.
Density functional theory data (PBE-GGA) for a relaxed structure of Ca2NbRe.

## Properties
As for the calculated volume: 35.14 A^3/atom. For the energy of formation from the pure elements, the calculation gives 415 kJ/mol of formula units. The total magnetization is 0.44 μB/f.u. The value obtained for the calculated total energy is -5.555 eV/atom. The calculation puts the energy relative to the lowest polymorph listed for this composition at 0 meV/atom. The symmetry is I-42d.

Cell lengths 10.9037, 10.9037, 8.0645 Å; angles 47.47, 47.47, 90.00 degrees
Site moments in Bohr magnetons follow the coordinates.
Element x y z (fractional)
1 Re 0.0000 0.0000 0.0000  -0.21
2 Re 0.7500 0.2500 0.5000  -0.21
3 Nb 0.5000 0.5000 0.0000  0.45
4 Nb 0.2500 0.7500 0.5000  0.45
5 Ca 0.7794 0.1250 0.2500  0.01
6 Ca 0.9706 0.6250 0.2500  0.01
7 Ca 0.3750 0.2206 0.7500  0.01
8 Ca 0.8750 0.0294 0.7500  0.01

4.
Density functional theory data (PBE-GGA) for a relaxed structure of CaNb3Re.

## Properties
As for the calculated volume: 24.41 A^3/atom. For the energy of formation from the pure elements, the calculation gives 411 kJ/mol of formula units. The total magnetization is 0.00 μB/f.u. The value obtained for the calculated total energy is -8.080 eV/atom. The calculation puts the energy relative to the lowest polymorph listed for this composition at 0 meV/atom. The symmetry is Pm-3m.

Cell lengths 4.9603, 4.9603, 4.9603 Å; angles 90.00, 90.00, 90.00 degrees
Element x y z (fractional)
1 Re 0.0000 0.0000 0.0000
2 Nb 0.0000 0.5000 0.0000
3 Nb 0.0000 0.0000 0.5000
4 Nb 0.5000 0.0000 0.0000
5 Ca 0.5000 0.5000 0.5000

5.
Density functional theory data (PBE-GGA) for a relaxed structure of Ca2NbRe.

## Properties
As for the calculated volume: 22.22 A^3/atom. For the energy of formation from the pure elements, the calculation gives 495 kJ/mol of formula units. The total magnetization is 0.00 μB/f.u. The value obtained for the calculated total energy is -5.348 eV/atom. The calculation puts the energy relative to the lowest polymorph listed for this composition at 206 meV/atom. The symmetry is Fm-3m.

Cell lengths 5.0090, 5.0090, 5.0090 Å; angles 60.00, 60.00, 60.00 degrees
Element x y z (fractional)
1 Re 0.5000 0.5000 0.5000
2 Nb 0.0000 0.0000 0.0000
3 Ca 0.2500 0.2500 0.2500
4 Ca 0.7500 0.7500 0.7500

6.
Density functional theory data (PBE-GGA) for a relaxed structure of CaNbReS2.

## Properties
As for the calculated volume: 22.80 A^3/atom. The total magnetization is 0.00 μB/f.u. The value obtained for the calculated total energy is -4.503 eV/atom. The symmetry is P4/mmm. The uncorrected formation energy comes out at 2.052 eV/atom.

Cell lengths 4.7646, 5.0227, 4.7646 Å; angles 90.00, 90.00, 90.00 degrees
Element x y z (fractional)
1 S 0.0000 0.0000 0.5000
2 S 0.5000 0.0000 0.0000
3 Re 0.5000 0.5000 0.5000
4 Nb 0.0000 0.5000 0.0000
5 Ca 0.0000 0.0000 0.0000